(1)
CsAgPb2Cl6: optimized geometry, PBE.

- Formation energy without anion corrections: -1.17 eV per atom
- Symmetry: P1
- DOS(E_F): 0.0 states/eV/cell
- Raw total energy: -0.24923 Ry/atom
- V: 330.3 Å³ per cell
- Spin magnetization: 0.000 μB per atom

Geometry as extended XYZ:
```
10
Lattice="-0.689 -6.989 2.644 6.137 -3.923 2.103 1.068 -1.570 7.954" Properties=species:S:1:pos:R:3 pbc="T T T"
Cs 5.109 -9.460 9.092
Cl 2.762 -3.765 7.101
Pb 3.277 -6.384 6.015
Cl 1.821 -6.981 8.494
Ag 1.508 -3.438 2.262
Cl 3.083 -9.288 5.454
Cl 1.193 -5.583 4.113
Cl 5.388 -5.906 4.033
Cl 5.541 -6.314 7.698
Pb 1.068 -1.618 7.760
```

(2)
RbRuC2: optimized geometry, PBE.

- Symmetry: I4_1/amd
- DOS(E_F): 1.1 states/eV/cell
- E_form: 0.6438 eV/atom
- Raw total energy: -0.47987 Ry/atom
- V: 163.2 Å³ per cell
- Spin magnetization: 0.000 μB per atom

Geometry as extended XYZ:
```
8
Lattice="-3.656 -0.842 4.843 -4.582 -1.602 -3.738 -2.855 -5.377 0.785" Properties=species:S:1:pos:R:3 pbc="T T T"
C -4.083 -4.548 1.939
Ru -5.315 -3.720 3.090
Rb -4.119 -1.222 0.553
C -6.775 -3.082 2.096
Rb -5.778 -4.100 -1.200
C -4.487 -2.281 3.969
Ru 0.000 0.000 0.000
C -5.915 -4.970 4.357
```

(3)
Hf3MnBr: optimized geometry, PBE.

- Formation energy without anion corrections: 0.43 eV per atom
- Symmetry: Pm-3m
- DOS(E_F): 5.2 states/eV/cell
- Raw total energy: -0.56673 Ry/atom
- V: 115.2 Å³ per cell
- Spin magnetization: 0.000 μB per atom

Geometry as extended XYZ:
```
5
Lattice="4.866 0.000 0.000 0.000 4.866 0.000 0.000 0.000 4.866" Properties=species:S:1:pos:R:3 pbc="T T T"
Hf 0.000 0.000 2.433
Mn 0.000 0.000 0.000
Hf 0.000 2.433 0.000
Hf 2.433 0.000 0.000
Br 2.433 2.433 2.433
```

(4)
MgCd4Hg5: optimized geometry, PBE.

- Symmetry: P4/mmm
- DOS(E_F): 3.2 states/eV/cell
- E_form: -0.0180 eV/atom
- Raw total energy: -0.05104 Ry/atom
- V: 236.8 Å³ per cell
- Spin magnetization: 0.000 μB per atom

Geometry as extended XYZ:
```
10
Lattice="-3.666 -0.788 0.253 0.787 -2.959 2.181 -1.151 9.721 13.606" Properties=species:S:1:pos:R:3 pbc="T T T"
Hg -2.482 6.927 13.535
Cd -0.460 3.880 5.430
Hg -1.782 1.012 5.256
Hg -2.249 4.962 10.784
Hg -2.016 2.987 8.020
Hg -1.549 -0.953 2.505
Cd -3.572 2.094 10.610
Cd -0.225 1.896 2.654
Mg 0.000 0.000 0.000
Cd -0.927 7.825 10.952
```

(5)
ZrScZnPt: optimized geometry, PBE.

- Symmetry: F-43m
- DOS(E_F): 3.7 states/eV/cell
- E_form: -0.6953 eV/atom
- Raw total energy: -0.45892 Ry/atom
- V: 74.4 Å³ per cell
- Spin magnetization: 0.000 μB per atom

Geometry as extended XYZ:
```
4
Lattice="4.720 0.000 0.000 2.360 4.088 0.000 2.360 1.363 3.854" Properties=species:S:1:pos:R:3 pbc="T T T"
Sc 0.000 0.000 0.000
Zn 2.360 1.363 0.963
Zr 4.720 2.725 1.927
Pt 7.080 4.088 2.890
```

(6)
TmPuTcRu: optimized geometry, PBE.

- Symmetry: F-43m
- DOS(E_F): 4.8 states/eV/cell
- E_form: -0.1755 eV/atom
- Raw total energy: -0.71932 Ry/atom
- V: 76.0 Å³ per cell
- Spin magnetization: 0.921 μB per atom

Geometry as extended XYZ:
```
4
Lattice="4.754 0.000 0.000 2.377 4.117 0.000 2.377 1.372 3.882" Properties=species:S:1:pos:R:3 pbc="T T T"
Ru 0.000 0.000 0.000
Pu 7.131 4.117 2.911
Tc 4.754 2.745 1.941
Tm 2.377 1.372 0.970
```

Q: The highest DOS(E_F) belongs to which entry?
A: Hf3MnBr